# 1
A plane-wave DFT calculation with PBE-GGA was carried out for a relaxed RbZnB2As crystal.

Summary:
N(E_F) = 0.536 states/eV per atom
ρ = 3.9 Mg/m³
M_tot = 0.00 μB/cell
VASP energy = -12.09 eV/f.u.

abc: 4.342 4.342 5.580
angles: 90.00 90.00 90.00
Fractional positions:
1 Rb 0.000 0.000 0.000
2 Zn 0.000 0.000 0.500
3 B 0.000 0.500 0.500
4 B 0.500 0.000 0.500
5 As 0.500 0.500 0.000

---

# 2
A plane-wave DFT calculation with PBE-GGA was carried out for a relaxed RbZnBAs2 crystal.

Summary:
N(E_F) = 0.714 states/eV per atom
ρ = 3.7 Mg/m³
M_tot = 0.31 μB/cell
VASP energy = -12.13 eV/f.u.

abc: 4.865 4.865 5.950
angles: 90.00 90.00 90.00
Fractional positions:
1 Rb 0.000 0.000 0.000
2 Zn 0.000 0.000 0.500
3 B 0.500 0.500 0.000
4 As 0.000 0.500 0.500
5 As 0.500 0.000 0.500

---

# 3
A plane-wave DFT calculation with PBE-GGA was carried out for a relaxed ReBAs2 crystal.

Summary:
N(E_F) = 0.713 states/eV per atom
ρ = 8.3 Mg/m³
M_tot = 0.29 μB/cell
VASP energy = -25.98 eV/f.u.

abc: 6.103 6.103 6.103
angles: 127.31 127.31 77.75
Fractional positions:
1 Re 0.000 0.000 0.000
2 Re 0.750 0.250 0.500
3 B 0.250 0.750 0.500
4 B 0.500 0.500 0.000
5 As 0.179 0.625 0.054
6 As 0.375 0.429 0.554
7 As 0.571 0.125 0.946
8 As 0.875 0.821 0.446

---

Question: Look up the ρ of the second one.
Answer: 3.7 Mg/m³